No. 1
# Tb2Lu2In (PBE, relaxed)
data_Tb2Lu2In
_space_group_name_H-M_alt 'P 4/m b m'
_space_group_IT_number 127
_space_group_name_Hall '-P 4 2ab'
_cell_length_a 8.020
_cell_length_b 8.020
_cell_length_c 4.629
_cell_angle_alpha 90.00
_cell_angle_beta 90.00
_cell_angle_gamma 90.00
loop_
_atom_site_label
_atom_site_type_symbol
_atom_site_fract_x
_atom_site_fract_y
_atom_site_fract_z
Tb1 Tb 0.153 0.347 0.000
Lu1 Lu 0.147 0.647 0.500
In1 In 0.000 0.000 0.500
# - VASP energy (eV/atom) = -4.216
# - theoretical density (Mg/m³) = 8.73

No. 2
# TbLuInTe3 (PBE, relaxed)
data_TbLuInTe3
_space_group_name_H-M_alt 'C 1 2/m 1'
_space_group_IT_number 12
_cell_length_a 18.839
_cell_length_b 4.315
_cell_length_c 10.009
_cell_angle_alpha 90.00
_cell_angle_beta 103.67
_cell_angle_gamma 90.00
loop_
_space_group_symop_operation_xyz
'x,y,z'
'-x,-y,-z'
'-x,y,-z'
'x,-y,z'
'x+1/2,y+1/2,z'
'-x+1/2,-y+1/2,-z'
'-x+1/2,y+1/2,-z'
'x+1/2,-y+1/2,z'
loop_
_atom_site_label
_atom_site_type_symbol
_atom_site_fract_x
_atom_site_fract_y
_atom_site_fract_z
Tb1 Tb 0.171 0.000 0.075
Lu1 Lu 0.003 0.500 0.210
In1 In 0.142 0.000 0.552
Te1 Te 0.000 0.000 0.000
Te2 Te 0.000 0.500 0.500
Te3 Te 0.163 0.500 0.846
Te4 Te 0.166 0.500 0.294
# - energy relative to the lowest polymorph listed for this composition (kJ/mol of formula units) = 0.0
# - theoretical density (Mg/m³) = 6.99

No. 3
# TbLuInTe3 (PBE, relaxed)
data_TbLuInTe3
_space_group_name_H-M_alt 'C m c m'
_space_group_IT_number 63
_space_group_name_Hall '-C 2c 2'
_cell_length_a 4.251
_cell_length_b 15.303
_cell_length_c 11.998
_cell_angle_alpha 90.00
_cell_angle_beta 90.00
_cell_angle_gamma 90.00
loop_
_atom_site_label
_atom_site_type_symbol
_atom_site_fract_x
_atom_site_fract_y
_atom_site_fract_z
Tb1 Tb 0.000 0.092 0.250
Lu1 Lu 0.000 0.500 0.000
In1 In 0.000 0.236 0.750
Te1 Te 0.000 0.142 0.012
Te2 Te 0.000 0.451 0.250
# - energy relative to the lowest polymorph listed for this composition (kJ/mol of formula units) = 30.5
# - theoretical density (Mg/m³) = 7.08

No. 4
# TbLuInTe3 (PBE, relaxed)
data_TbLuInTe3
_space_group_name_H-M_alt 'C m c m'
_space_group_IT_number 63
_space_group_name_Hall '-C 2c 2'
_cell_length_a 4.332
_cell_length_b 15.164
_cell_length_c 11.993
_cell_angle_alpha 90.00
_cell_angle_beta 90.00
_cell_angle_gamma 90.00
loop_
_atom_site_label
_atom_site_type_symbol
_atom_site_fract_x
_atom_site_fract_y
_atom_site_fract_z
Tb1 Tb 0.000 0.000 0.000
Lu1 Lu 0.000 0.424 0.250
In1 In 0.000 0.251 0.750
Te1 Te 0.000 0.059 0.250
Te2 Te 0.000 0.354 0.026
# - energy relative to the lowest polymorph listed for this composition (kJ/mol of formula units) = 25.9
# - theoretical density (Mg/m³) = 7.01

No. 5
# LuIn2Tc (PBE, relaxed)
data_LuIn2Tc
_space_group_name_H-M_alt 'F -4 3 m'
_space_group_IT_number 216
_space_group_name_Hall 'F -4 2 3'
_cell_length_a 6.897
_cell_length_b 6.897
_cell_length_c 6.897
_cell_angle_alpha 90.00
_cell_angle_beta 90.00
_cell_angle_gamma 90.00
loop_
_atom_site_label
_atom_site_type_symbol
_atom_site_fract_x
_atom_site_fract_y
_atom_site_fract_z
Lu1 Lu 0.000 0.000 0.000
In1 In 0.000 0.000 0.500
In2 In 0.250 0.250 0.250
Tc1 Tc 0.250 0.250 0.750
# - VASP energy (eV/atom) = -4.929
# - theoretical density (Mg/m³) = 10.18

No. 6
# LuInTe (PBE, relaxed)
data_LuInTe
_space_group_name_H-M_alt 'F -4 3 m'
_space_group_IT_number 216
_space_group_name_Hall 'F -4 2 3'
_cell_length_a 7.221
_cell_length_b 7.221
_cell_length_c 7.221
_cell_angle_alpha 90.00
_cell_angle_beta 90.00
_cell_angle_gamma 90.00
loop_
_atom_site_label
_atom_site_type_symbol
_atom_site_fract_x
_atom_site_fract_y
_atom_site_fract_z
Lu1 Lu 0.000 0.000 0.000
In1 In 0.000 0.000 0.500
Te1 Te 0.250 0.250 0.250
# - energy relative to the lowest polymorph listed for this composition (kJ/mol of formula units) = 0.0
# - theoretical density (Mg/m³) = 7.36